PuTh2Pb: optimized geometry, GGA-PBE.

a = 3.769 Å, b = 3.769 Å, c = 9.135 Å
α = 78.09°, β = 78.09°, γ = 60.00°
Last column: magnetic moment on the atom in μB.
Atoms (fractional coordinates):
Pu: 0.668 0.668 0.996  0.56
Pb: 0.499 0.499 0.503  0.00
Th: 0.063 0.063 0.810  -0.03
Th: 0.270 0.270 0.191  0.00

Output
Its calculated volume is 27.3 Å³/atom. The space-group type is R3m (160). For the calculated formation energy, the calculation gives 0.556 eV/atom. The energy above the most stable polymorph in this dataset comes out at 267 kJ/mol of formula units. The uncorrected energy is -7.6644 eV/atom.